Entry 1:
The following is a PBE calculation of a relaxed Tc2HPtW crystal, from the Alexandria database. Values from VASP.

Calculated values
- Fermi-level density of states: 2.931 states/eV/f.u.
- VASP energy: -8.6863 eV per atom
- Relative energy among the computed polymorphs: 2.1 kJ/mol of atoms

```
&SYSTEM
  ibrav = 0, nat = 5, ntyp = 4
/
ATOMIC_SPECIES
H 1.01 H.upf
Tc 98.00 Tc.upf
Pt 195.08 Pt.upf
W 183.84 W.upf
CELL_PARAMETERS angstrom
-0.155 0.365 3.970
-1.554 -3.665 0.276
3.596 -1.504 0.278
ATOMIC_POSITIONS crystal
H 0.000 0.000 0.000
Tc 0.500 0.000 0.000
Tc 0.000 0.500 0.000
Pt 0.000 0.000 0.500
W 0.500 0.500 0.500
```

***

Entry 2:
The following is a PBE calculation of a relaxed ZrTc2HPt crystal, from the Alexandria database. Values from VASP.

Calculated values
- Fermi-level density of states: 4.405 states/eV/f.u.
- VASP energy: -8.0605 eV per atom

```
&SYSTEM
  ibrav = 0, nat = 5, ntyp = 4
/
ATOMIC_SPECIES
Tc 98.00 Tc.upf
H 1.01 H.upf
Pt 195.08 Pt.upf
Zr 91.22 Zr.upf
CELL_PARAMETERS angstrom
3.974 0.000 0.000
0.000 3.974 0.000
0.000 0.000 4.253
ATOMIC_POSITIONS crystal
Tc 0.500 0.000 0.000
Tc 0.000 0.500 0.000
H 0.000 0.000 0.000
Pt 0.500 0.500 0.500
Zr 0.000 0.000 0.500
```

***

Entry 3:
The following is a PBE calculation of a relaxed TeH2Pt crystal, from the Alexandria database. Values from VASP.

Calculated values
- Fermi-level density of states: 1.200 states/eV/f.u.
- VASP energy: -3.2052 eV per atom
- Relative energy among the computed polymorphs: 48.7 kJ/mol of atoms

```
&SYSTEM
  ibrav = 0, nat = 4, ntyp = 3
/
ATOMIC_SPECIES
H 1.01 H.upf
Pt 195.08 Pt.upf
Te 127.60 Te.upf
CELL_PARAMETERS angstrom
-3.683 1.692 0.385
-1.848 1.614 -3.249
-3.261 -1.833 -1.607
ATOMIC_POSITIONS crystal
H 0.750 0.750 0.750
H 0.250 0.250 0.250
Pt 0.500 0.500 0.500
Te 0.000 0.000 0.000
```

***

Entry 4:
The following is a PBE calculation of a relaxed TeHPt crystal, from the Alexandria database. Values from VASP.

Calculated values
- Fermi-level density of states: 1.284 states/eV/f.u.
- VASP energy: -4.1342 eV per atom
- Relative energy among the computed polymorphs: 21.0 kJ/mol of atoms

```
&SYSTEM
  ibrav = 0, nat = 24, ntyp = 3
/
ATOMIC_SPECIES
Pt 195.08 Pt.upf
H 1.01 H.upf
Te 127.60 Te.upf
CELL_PARAMETERS angstrom
-1.010 -4.205 -4.945
1.483 -8.342 2.428
-8.338 -2.846 -0.241
ATOMIC_POSITIONS crystal
Pt 0.513 0.310 0.286
Pt 0.549 0.214 0.810
Pt 0.109 0.690 0.714
Pt 0.177 0.714 0.310
Pt 0.201 0.286 0.690
Pt 0.237 0.190 0.214
Pt 0.573 0.786 0.190
Pt 0.641 0.810 0.786
H 0.085 0.504 0.708
H 0.543 0.792 0.004
H 0.207 0.708 0.496
H 0.410 0.292 0.504
H 0.298 0.496 0.292
H 0.452 0.004 0.208
H 0.340 0.208 0.996
H 0.665 0.996 0.792
Te 0.807 0.463 0.253
Te 0.730 0.747 0.463
Te 0.227 0.963 0.753
Te 0.943 0.037 0.247
Te 0.523 0.537 0.747
Te 0.940 0.253 0.537
Te 0.810 0.247 0.963
Te 0.020 0.753 0.037
```

***

Entry 5:
The following is a PBE calculation of a relaxed TeHPt crystal, from the Alexandria database. Values from VASP.

Calculated values
- Fermi-level density of states: 0.597 states/eV/f.u.
- VASP energy: -4.3519 eV per atom
- Relative energy among the computed polymorphs: 0.0 kJ/mol of atoms

```
&SYSTEM
  ibrav = 0, nat = 6, ntyp = 3
/
ATOMIC_SPECIES
H 1.01 H.upf
Pt 195.08 Pt.upf
Te 127.60 Te.upf
CELL_PARAMETERS angstrom
-1.215 -3.010 2.342
0.486 -0.588 -3.922
9.038 -1.183 3.445
ATOMIC_POSITIONS crystal
H 0.556 0.114 0.157
H 0.392 0.134 0.189
Pt 0.017 0.221 0.756
Pt 0.300 0.774 0.587
Te 0.927 0.018 0.456
Te 0.722 0.642 0.886
```

***

Entry 6:
The following is a PBE calculation of a relaxed TeH3Pt crystal, from the Alexandria database. Values from VASP.

Calculated values
- Fermi-level density of states: 3.958 states/eV/f.u.
- VASP energy: -2.7746 eV per atom
- Relative energy among the computed polymorphs: 99.7 kJ/mol of atoms

```
&SYSTEM
  ibrav = 0, nat = 5, ntyp = 3
/
ATOMIC_SPECIES
H 1.01 H.upf
Te 127.60 Te.upf
Pt 195.08 Pt.upf
CELL_PARAMETERS angstrom
-1.828 -0.067 -3.446
-3.379 -0.733 1.806
-0.679 3.831 0.286
ATOMIC_POSITIONS crystal
H 0.000 0.000 0.500
H 0.000 0.500 0.000
H 0.500 0.000 0.000
Te 0.000 0.000 0.000
Pt 0.500 0.500 0.500
```

***

Entry 7:
The following is a PBE calculation of a relaxed TeH3Pt crystal, from the Alexandria database. Values from VASP.

Calculated values
- Fermi-level density of states: 0.979 states/eV/f.u.
- VASP energy: -3.8075 eV per atom
- Relative energy among the computed polymorphs: 0.0 kJ/mol of atoms

```
&SYSTEM
  ibrav = 0, nat = 10, ntyp = 3
/
ATOMIC_SPECIES
Pt 195.08 Pt.upf
H 1.01 H.upf
Te 127.60 Te.upf
CELL_PARAMETERS angstrom
4.345 0.000 -0.001
0.000 6.745 -0.002
-0.001 0.002 4.552
ATOMIC_POSITIONS crystal
Pt 0.693 0.717 0.201
Pt 0.193 0.636 0.701
H 0.419 0.773 0.454
H 0.419 0.773 0.948
H 0.919 0.580 0.954
H 0.919 0.580 0.448
H 0.573 0.495 0.201
H 0.073 0.858 0.701
Te 0.275 0.227 0.701
Te 0.775 0.125 0.201
```

***

Entry 8:
The following is a PBE calculation of a relaxed TeH3Pt crystal, from the Alexandria database. Values from VASP.

Calculated values
- Fermi-level density of states: 3.476 states/eV/f.u.
- VASP energy: -3.2796 eV per atom
- Relative energy among the computed polymorphs: 50.9 kJ/mol of atoms

```
&SYSTEM
  ibrav = 0, nat = 5, ntyp = 3
/
ATOMIC_SPECIES
Pt 195.08 Pt.upf
H 1.01 H.upf
Te 127.60 Te.upf
CELL_PARAMETERS angstrom
-2.256 3.049 -0.222
-0.459 -0.064 3.771
3.023 2.266 0.406
ATOMIC_POSITIONS crystal
Pt 0.000 0.000 0.000
H 0.500 0.000 0.000
H 0.000 0.500 0.000
H 0.000 0.000 0.500
Te 0.500 0.500 0.500
```

***

Entry 9:
The following is a PBE calculation of a relaxed TeH2Pt crystal, from the Alexandria database. Values from VASP.

Calculated values
- Fermi-level density of states: 1.862 states/eV/f.u.
- VASP energy: -3.7102 eV per atom
- Relative energy among the computed polymorphs: 0.0 kJ/mol of atoms

```
&SYSTEM
  ibrav = 0, nat = 8, ntyp = 3
/
ATOMIC_SPECIES
H 1.01 H.upf
Pt 195.08 Pt.upf
Te 127.60 Te.upf
CELL_PARAMETERS angstrom
-3.404 1.751 -3.803
0.367 -4.757 -2.520
-4.491 -2.820 -1.108
ATOMIC_POSITIONS crystal
H 0.811 0.625 0.250
H 0.939 0.125 0.250
H 0.875 0.189 0.750
H 0.375 0.061 0.750
Pt 0.000 0.000 0.000
Pt 0.750 0.250 0.500
Te 0.250 0.750 0.500
Te 0.500 0.500 0.000
```

***

Entry 10:
The following is a PBE calculation of a relaxed Te2H2Pt crystal, from the Alexandria database. Values from VASP.

Calculated values
- Fermi-level density of states: 2.793 states/eV/f.u.
- VASP energy: -3.5535 eV per atom

```
&SYSTEM
  ibrav = 0, nat = 5, ntyp = 3
/
ATOMIC_SPECIES
Te 127.60 Te.upf
H 1.01 H.upf
Pt 195.08 Pt.upf
CELL_PARAMETERS angstrom
-3.216 1.622 0.912
-3.219 -1.593 -0.951
-2.201 -3.658 6.315
ATOMIC_POSITIONS crystal
Te 0.590 0.590 0.230
Te 0.410 0.410 0.770
H 0.222 0.222 0.335
H 0.778 0.778 0.665
Pt 0.000 0.000 0.000
```

***

Entry 11:
The following is a PBE calculation of a relaxed TlTeH2Pt crystal, from the Alexandria database. Values from VASP.

Calculated values
- Fermi-level density of states: 2.108 states/eV/f.u.
- VASP energy: -3.2088 eV per atom

```
&SYSTEM
  ibrav = 0, nat = 5, ntyp = 4
/
ATOMIC_SPECIES
H 1.01 H.upf
Te 127.60 Te.upf
Tl 204.38 Tl.upf
Pt 195.08 Pt.upf
CELL_PARAMETERS angstrom
4.000 0.000 0.000
0.000 4.000 0.000
0.000 0.000 5.640
ATOMIC_POSITIONS crystal
H 0.500 0.000 0.000
H 0.000 0.500 0.000
Te 0.500 0.500 0.500
Tl 0.000 0.000 0.500
Pt 0.000 0.000 0.000
```

***

Entry 12:
The following is a PBE calculation of a relaxed TlTeHPt2 crystal, from the Alexandria database. Values from VASP.

Calculated values
- Fermi-level density of states: 12.947 states/eV/f.u.
- VASP energy: -2.6122 eV per atom

```
&SYSTEM
  ibrav = 0, nat = 5, ntyp = 4
/
ATOMIC_SPECIES
Te 127.60 Te.upf
Tl 204.38 Tl.upf
Pt 195.08 Pt.upf
H 1.01 H.upf
CELL_PARAMETERS angstrom
-1.631 -3.746 3.171
-0.413 -3.549 -4.405
4.894 -1.497 0.747
ATOMIC_POSITIONS crystal
Te 0.000 0.500 0.000
Tl 0.000 0.000 0.000
Pt 0.500 0.000 0.000
Pt 0.000 0.000 0.500
H 0.500 0.500 0.500
```